[1]
Material: AsIrBr2
Method: DFT, PBE
State: optimized geometry

Calculated values
Uncorrected energy = -12.79 eV/cell

Cell lengths 3.0884, 3.0884, 9.0060 Å; angles 90.00, 90.00, 90.00 degrees
Space group P4/mmm (No. 123)
Inequivalent atoms, fractional coordinates:
As1 0.0000 0.0000 0.0000 [1 per cell]
Ir1 0.0000 0.0000 0.5000 [1 per cell]
Br1 0.5000 0.5000 0.3077 [2 per cell]

---

[2]
Material: Na5MgSn2
Method: DFT, PBE
State: optimized geometry

Calculated values
Calculated formation energy = -93 meV/atom

Cell lengths 6.7366, 13.1667, 5.0190 Å; angles 90.00, 90.00, 90.00 degrees
Space group Pbam (No. 55)
Inequivalent atoms, fractional coordinates:
Na1 0.0000 0.0000 0.0000 [2 per cell]
Na2 0.1108 0.2474 0.0000 [4 per cell]
Na3 0.1716 0.8683 0.5000 [4 per cell]
Mg1 0.0000 0.5000 0.0000 [2 per cell]
Sn1 0.1573 0.6046 0.5000 [4 per cell]

---

[3]
Material: Na2NpSiN4
Method: DFT, PBE
State: optimized geometry

Calculated values
Uncorrected energy = -58.57 eV/cell

Cell lengths 5.1155, 3.3927, 5.8886 Å; angles 90.00, 104.76, 90.00 degrees
Space group P2/m (No. 10)
Inequivalent atoms, fractional coordinates:
Na1 0.0000 0.0000 0.0000 [1 per cell]
Na2 0.5000 0.5000 0.0000 [1 per cell]
Np1 0.0000 0.5000 0.5000 [1 per cell]
Si1 0.5000 0.0000 0.5000 [1 per cell]
N1 0.2679 0.5000 0.3085 [2 per cell]
N2 0.2699 0.0000 0.6841 [2 per cell]

---

In order of appearance, N(E_F) = 4.410; 5.258; 2.937 states/eV/cell.